Entry 1:
A plane-wave DFT calculation with PBE was carried out for a relaxed MnFe2W2 crystal.

The total energy comes out at -10.0552 eV per atom. Its density of states at the Fermi level is 2.606 states/eV per atom. The formation enthalpy at 0 K is 0.3451 eV per atom.

Cell: 6.701 6.701 2.936 Å, 90.00 90.00 90.00°
Space group P4/mbm (No. 127)
Symmetry-distinct sites (fractional):
Mn: 0.000 0.000 0.000 x2
Fe: 0.127 0.373 0.000 x4
W: 0.176 0.676 0.500 x4

Entry 2:
A plane-wave DFT calculation with PBE was carried out for a relaxed MnFeW crystal.

The total energy comes out at -10.2186 eV per atom. The distance to the lowest polymorph of the same formula comes out at 27 meV per atom. Its density of states at the Fermi level is 1.073 states/eV per atom. The formation enthalpy at 0 K is -0.0235 eV per atom.

Cell: 4.675 4.731 6.694 Å, 90.00 90.00 90.00°
Space group Imma (No. 74)
Symmetry-distinct sites (fractional):
Mn: 0.250 0.250 0.250 x4
Fe: 0.000 0.000 0.000 x4
W: 0.000 0.250 0.626 x4

Entry 3:
A plane-wave DFT calculation with PBE was carried out for a relaxed Mn2FeW crystal.

The total energy comes out at -9.7835 eV per atom. Its density of states at the Fermi level is 0.979 states/eV per atom. The formation enthalpy at 0 K is 0.1552 eV per atom.

Cell: 5.099 8.278 2.583 Å, 90.00 111.90 90.00°
Space group C2/m (No. 12)
Symmetry-distinct sites (fractional):
Mn: 0.250 0.250 0.000 x4
Fe: 0.000 0.000 0.500 x2
W: 0.000 0.500 0.500 x2

Entry 4:
A plane-wave DFT calculation with PBE was carried out for a relaxed MnFeW2 crystal.

The total energy comes out at -10.7492 eV per atom. The distance to the lowest polymorph of the same formula comes out at 34 meV per atom. Its density of states at the Fermi level is 0.881 states/eV per atom. The formation enthalpy at 0 K is 0.1355 eV per atom.

Cell: 2.649 4.306 4.957 Å, 90.00 99.17 90.00°
Space group Pm (No. 6)
Symmetry-distinct sites (fractional):
Mn: 0.000 0.000 0.000 x1
Fe: 0.211 0.500 0.747 x1
W: 0.481 0.000 0.514 x1
W: 0.728 0.500 0.230 x1

Entry 5:
A plane-wave DFT calculation with PBE was carried out for a relaxed MnFeW2 crystal.

The total energy comes out at -10.7364 eV per atom. The distance to the lowest polymorph of the same formula comes out at 47 meV per atom. Its density of states at the Fermi level is 0.867 states/eV per atom. The formation enthalpy at 0 K is 0.1482 eV per atom.

Cell: 3.121 4.303 8.304 Å, 90.00 90.00 90.00°
Space group Cmmm (No. 65)
Symmetry-distinct sites (fractional):
Mn: 0.000 0.000 0.000 x2
Fe: 0.000 0.000 0.500 x2
W: 0.000 0.500 0.249 x4

Entry 6:
A plane-wave DFT calculation with PBE was carried out for a relaxed MnFeW crystal.

The total energy comes out at -10.0514 eV per atom. The distance to the lowest polymorph of the same formula comes out at 194 meV per atom. Its density of states at the Fermi level is 0.615 states/eV per atom. The formation enthalpy at 0 K is 0.1437 eV per atom.

Cell: 2.604 2.604 11.322 Å, 90.00 90.00 90.00°
Space group I4mm (No. 107)
Symmetry-distinct sites (fractional):
Mn: 0.000 0.000 0.000 x2
Fe: 0.000 0.000 0.361 x2
W: 0.000 0.000 0.682 x2